BaH2Ir at its PBEsol-relaxed geometry, computed with meta-GGA SCAN.

The structure in POSCAR format:
```
BaH2Ir
1.0
0.000 3.092 3.092
3.092 0.000 3.092
3.092 3.092 0.000
Ba H Ir
1 2 1
Direct
0.000 0.000 0.000
0.250 0.250 0.250
0.750 0.750 0.750
0.500 0.500 0.500
```

- Space-group type: Fm-3m



BaNaH6Ir at its PBEsol-relaxed geometry, computed with meta-GGA SCAN.

The structure in POSCAR format:
```
BaNaH6Ir
1.0
0.000 3.836 3.836
3.836 0.000 3.836
3.836 3.836 0.000
Ba Na H Ir
1 1 6 1
Direct
0.000 0.000 0.000
0.500 0.500 0.500
0.531 0.531 0.969
0.531 0.969 0.531
0.531 0.969 0.969
0.969 0.531 0.531
0.969 0.531 0.969
0.969 0.969 0.531
0.750 0.750 0.750
```

- Space-group type: F-43m



Ba2HIrRu at its PBEsol-relaxed geometry, computed with meta-GGA SCAN.

The structure in POSCAR format:
```
Ba2HIrRu
1.0
5.826 0.000 0.000
0.000 5.826 0.000
0.000 0.000 4.550
Ba H Ir Ru
2 1 1 1
Direct
0.000 0.500 0.000
0.500 0.000 0.000
0.000 0.000 0.500
0.500 0.500 0.500
0.500 0.500 0.000
```

- Space-group type: P4/mmm



no.,density of states at the Fermi level (states/eV/cell),total energy (eV per atom)
1,2.486,-28.6304
2,0.000,-15.6984
3,2.495,-37.2959